Entry 1:
! PBE-GGA AcBi5Pb2, optimized geometry; values from VASP
! ΔE_f ... -0.215 eV per atom
&SYSTEM
  ibrav = 0, nat = 8, ntyp = 3
/
ATOMIC_SPECIES
Ac 227.00 Ac.upf
Bi 208.98 Bi.upf
Pb 207.20 Pb.upf
ATOMIC_POSITIONS crystal
Ac 0.0000 0.0000 0.0000
Bi 0.0000 0.0000 0.5000
Bi 0.0000 0.5000 0.0000
Bi 0.5000 0.0000 0.0000
Bi 0.5000 0.5000 0.0000
Bi 0.5000 0.5000 0.5000
Pb 0.0000 0.5000 0.5000
Pb 0.5000 0.0000 0.5000
CELL_PARAMETERS angstrom
-4.2708 4.2708 3.6166
4.2708 -4.2708 3.6166
4.2708 4.2708 -3.6166

---

Entry 2:
! PBE-GGA SrCd2Os2, optimized geometry; values from VASP
! ΔE_f ... 0.600 eV per atom
! Excess energy over the best structure of this formula in the dataset ... 6 meV per atom
&SYSTEM
  ibrav = 0, nat = 10, ntyp = 3
/
ATOMIC_SPECIES
Sr 87.62 Sr.upf
Cd 112.41 Cd.upf
Os 190.23 Os.upf
ATOMIC_POSITIONS crystal
Sr 0.0000 0.0000 0.0000
Sr 0.5000 0.5000 0.0000
Cd 0.1853 0.3147 0.0000
Cd 0.3147 0.8147 0.0000
Cd 0.6853 0.1853 0.0000
Cd 0.8147 0.6853 0.0000
Os 0.1020 0.6020 0.5000
Os 0.3980 0.1020 0.5000
Os 0.6020 0.8980 0.5000
Os 0.8980 0.3980 0.5000
CELL_PARAMETERS angstrom
8.4008 0.0000 0.0000
0.0000 8.4008 0.0000
0.0000 0.0000 2.9056

---

Entry 3:
! PBE-GGA HfTeC3, optimized geometry; values from VASP
! E_form (uncorrected) ... 11.3 eV per formula unit
! Excess energy over the best structure of this formula in the dataset ... 181 meV per atom
&SYSTEM
  ibrav = 0, nat = 5, ntyp = 3
/
ATOMIC_SPECIES
Hf 178.49 Hf.upf
Te 127.60 Te.upf
C 12.01 C.upf
ATOMIC_POSITIONS crystal
Hf 0.0000 0.0000 0.0000
Te 0.5000 0.5000 0.5000
C 0.0000 0.5000 0.5000
C 0.5000 0.0000 0.5000
C 0.5000 0.5000 0.0000
CELL_PARAMETERS angstrom
4.0896 0.0000 0.0000
0.0000 4.0896 0.0000
0.0000 0.0000 4.0896

---

Entry 4:
! PBE-GGA Nd3BiO2, optimized geometry; values from VASP
! E_form (uncorrected) ... -12.7 eV per formula unit
&SYSTEM
  ibrav = 0, nat = 6, ntyp = 3
/
ATOMIC_SPECIES
Nd 144.24 Nd.upf
Bi 208.98 Bi.upf
O 16.00 O.upf
ATOMIC_POSITIONS crystal
Nd 0.0000 0.0000 0.0000
Nd 0.2500 0.7500 0.5000
Nd 0.7500 0.2500 0.5000
Bi 0.5000 0.5000 0.0000
O 0.2020 0.2020 0.0000
O 0.7980 0.7980 0.0000
CELL_PARAMETERS angstrom
-2.3777 2.3777 6.0220
2.3777 -2.3777 6.0220
2.3777 2.3777 -6.0220

---

| no. | E_tot (eV per atom) | volume (Å³ per cell) |
| --- | --- | --- |
| 1 | -4.081 | 263.9 |
| 2 | -4.594 | 205.1 |
| 3 | -5.887 | 68.4 |
| 4 | -6.801 | 136.2 |